This record from Alexandria describes crystalline RbMnNbF6 at its relaxed geometry. The functional is GGA+U. Values from VASP.

Results
DOS at the Fermi energy (states/eV per atom): 0.4283
Final energy (eV/atom): -5.981
Crystal system: orthorhombic
Total magnetization (μB/f.u.): 5.90

Structure (Quantum ESPRESSO input):
```
&SYSTEM
  ibrav = 0, nat = 18, ntyp = 4
/
ATOMIC_SPECIES
Rb 85.47 Rb.upf
Mn 54.94 Mn.upf
Nb 92.91 Nb.upf
F 19.00 F.upf
ATOMIC_POSITIONS crystal
Rb 0.3786 0.1286 0.2500
Rb 0.6214 0.8714 0.7500
Mn 0.0000 0.5000 0.5000
Mn 0.5000 0.5000 0.0000
Nb 0.0000 0.0000 0.5000
Nb 0.0000 0.5000 0.0000
F 0.0875 0.4197 0.2382
F 0.0875 0.8493 0.6678
F 0.1188 0.8688 0.2500
F 0.3114 0.5614 0.7500
F 0.3184 0.1507 0.7382
F 0.3184 0.5803 0.1678
F 0.6816 0.4197 0.8322
F 0.6816 0.8493 0.2618
F 0.6886 0.4386 0.2500
F 0.8812 0.1312 0.7500
F 0.9125 0.1507 0.3322
F 0.9125 0.5803 0.7618
CELL_PARAMETERS angstrom
-3.3733 3.9488 5.6574
3.3733 -3.9488 5.6574
3.3733 3.9488 -5.6574
```